Entry 1:
SrPBr2: PBEsol geometry, SCAN.

## Properties
As for the total magnetization: 0.0 μB per formula unit. The energy relative to the elements, uncorrected comes out at -0.828 eV per atom.

Structure (POSCAR):
```
SrPBr2
1.0
-2.280 2.379 2.004
-2.405 -3.460 1.371
3.506 -0.583 4.680
Br P Sr
2 1 1
Direct
0.000 0.000 0.000
0.500 0.000 0.500
0.500 0.500 0.000
0.000 0.500 0.500
```

Entry 2:
LaZn5: PBEsol geometry, SCAN.

## Properties
For the energy relative to the elements, the calculation gives -0.3784 eV per atom. As for the total magnetization: 0.0 μB per formula unit.

Structure (POSCAR):
```
LaZn5
1.0
4.208 0.000 0.000
0.000 5.348 0.000
0.000 -2.674 4.631
Zn La
5 1
Direct
0.000 0.333 0.667
0.000 0.667 0.333
0.500 0.000 0.500
0.500 0.500 0.000
0.500 0.500 0.500
0.000 0.000 0.000
```

Entry 3:
Zn2MoPb: PBEsol geometry, SCAN.

## Properties
For the energy relative to the elements, the calculation gives 0.4296 eV per atom. As for the total magnetization: 0.0 μB per formula unit.

Structure (POSCAR):
```
Zn2MoPb
1.0
3.106 0.000 0.000
0.000 3.837 0.000
0.000 0.000 5.794
Mo Pb Zn
1 1 2
Direct
0.500 0.500 0.000
0.500 0.500 0.500
0.000 0.000 0.789
0.000 0.000 0.211
```

Copy entry 1 word for word.
SrPBr2: PBEsol geometry, SCAN.

## Properties
As for the total magnetization: 0.0 μB per formula unit. The energy relative to the elements, uncorrected comes out at -0.828 eV per atom.

Structure (POSCAR):
```
SrPBr2
1.0
-2.280 2.379 2.004
-2.405 -3.460 1.371
3.506 -0.583 4.680
Br P Sr
2 1 1
Direct
0.000 0.000 0.000
0.500 0.000 0.500
0.500 0.500 0.000
0.000 0.500 0.500
```